No. 1
Material: Ti8Ga2Sn
Method: DFT, PBE
State: relaxed

Values from the calculation:
ΔE_f = -0.16 eV/atom
DOS(E_F) = 1.0880 states/eV/atom
Total energy = -6.8130 eV per atom

```
11
Lattice="-2.5729 1.1640 -3.9284 -5.0588 -1.0957 4.9355 4.3943 5.5958 0.7268" Properties=species:S:1:pos:R:3 pbc="T T T"
Ti 0.5673 1.8588 0.1044
Ti -4.2022 1.0033 2.0171
Ti -1.1374 2.9444 2.1268
Ti 0.9647 4.6608 -0.2833
Ti -3.8048 3.8053 1.6295
Ti -1.6431 5.3354 0.6671
Ti -2.1000 2.7196 -0.3929
Ti -1.5944 0.3286 1.0668
Ga 1.4986 3.5460 2.0160
Ga -2.1631 0.9541 3.6462
Sn -1.2865 0.5820 -1.9642
```

No. 2
Material: NiAg2Rh
Method: DFT, PBE
State: relaxed

Values from the calculation:
E above lowest polymorph = 0.156 eV/atom
ΔE_f = 0.31 eV/atom
DOS(E_F) = 1.2126 states/eV/atom
Total energy = -4.4038 eV per atom

```
4
Lattice="4.7598 0.0144 0.0000 1.3854 4.5538 0.0000 -3.0726 -2.2841 2.8281" Properties=species:S:1:pos:R:3 pbc="T T T"
Ag 0.6927 2.2769 1.4140
Ag 0.0000 0.0000 0.0000
Ni 3.0726 2.2841 0.0000
Rh 2.3799 0.0072 1.4140
```

No. 3
Material: CeU2MnS6
Method: DFT, PBE
State: relaxed

Values from the calculation:
ΔE_f (raw) = -1284 meV/atom
DOS(E_F) = 1.6391 states/eV/atom
Total energy = -7.5285 eV per atom

```
10
Lattice="6.8138 0.0001 0.0002 3.4070 5.9013 0.0002 3.4067 1.9674 6.1184" Properties=species:S:1:pos:R:3 pbc="T T T"
S 4.8141 3.8598 4.6261
S 7.8778 2.2401 4.6262
S 5.5444 5.9783 1.5046
S 9.2184 4.0116 1.5047
S 7.7487 5.7034 4.6262
S 5.6782 1.8129 1.5045
Ce 10.2206 5.9014 3.4192
Mn 3.4077 1.9676 0.1641
U 3.4066 1.9673 5.9275
U 6.8136 3.9343 2.7837
```

No. 4
Material: Fe2HW
Method: DFT, PBE
State: relaxed

Values from the calculation:
E above lowest polymorph = 0.094 eV/atom
DOS(E_F) = 1.0165 states/eV/atom
Total energy = -8.0395 eV per atom

```
8
Lattice="-0.5695 -0.1995 -4.8841 1.9843 -4.5032 -0.0474 -2.3290 -3.6937 -2.0568" Properties=species:S:1:pos:R:3 pbc="T T T"
Fe -0.8384 -6.1371 -5.8498
Fe 0.4922 -3.7960 -1.9657
Fe -0.5956 -1.5779 -2.7614
Fe -0.8866 -5.2818 -3.3998
W -1.0956 -3.1223 -4.7033
W 0.0000 0.0000 0.0000
H 0.7074 -2.3514 -2.4658
H 0.1814 -5.2741 -2.2850
```

No. 5
Material: Ti3HgPd4
Method: DFT, PBE
State: relaxed

Values from the calculation:
ΔE_f = -0.44 eV/atom
DOS(E_F) = 0.8773 states/eV/atom
Total energy = -6.0319 eV per atom

```
16
Lattice="-0.0592 -2.1451 -4.3206 5.7271 0.6670 -0.4097 1.2545 -8.2625 4.0850" Properties=species:S:1:pos:R:3 pbc="T T T"
Pd 1.9797 -5.0428 -0.2166
Pd 4.6107 -3.4301 -3.0582
Pd 1.6403 -3.7760 -2.8457
Pd 5.2821 -5.9646 2.2005
Pd 1.3525 -0.9116 -2.2591
Pd 2.3116 -6.3105 2.4130
Pd 4.9426 -4.6978 -0.4286
Pd 4.3154 -0.5665 -2.4711
Hg 3.4908 -3.7978 1.8377
Hg 2.8635 0.3335 -0.2048
Ti 0.6273 -4.1313 2.0425
Ti 0.2906 -2.8994 -0.6582
Ti 0.0000 0.0000 0.0000
Ti 0.9047 -7.5082 0.4226
Ti 3.1544 -2.5563 -0.8436
Ti 3.7679 -7.1843 0.1984
```

No. 6
Material: AgAsRu
Method: DFT, PBE
State: relaxed

Values from the calculation:
E above lowest polymorph = 0.437 eV/atom
ΔE_f = 0.33 eV/atom
DOS(E_F) = 0.7120 states/eV/atom
Total energy = -5.2670 eV per atom

```
3
Lattice="7.3539 -0.0219 0.0148 6.5765 2.7615 0.0767 0.7775 -0.9900 2.6022" Properties=species:S:1:pos:R:3 pbc="T T T"
Ru 9.7349 1.5499 0.8924
Ag 0.9315 -0.9464 2.5728
As 4.8190 0.1560 1.8307
```